Entry 1:
The following is a PBE calculation of an optimized crystal structure of Ca2CoN, from the Alexandria database.

a = 7.021 Å, b = 7.021 Å, c = 7.295 Å
α = 90.00°, β = 90.00°, γ = 90.00°
Space group I-42d (No. 122)
One atom of each set of equivalent atoms:
Ca: 0.163 0.250 0.125 x8
Co: 0.000 0.000 0.500 x4
N: 0.000 0.000 0.000 x4

Calculated values
Energy: -4.634 eV per atom
Energy relative to the elements, uncorrected: 22 kJ per mole of atoms
Crystal system: tetragonal
Total magnetization: 8.0 Bohr magnetons per cell
Calculated density: 2.83 g/cm³



Entry 2:
The following is a PBE calculation of an optimized crystal structure of NaInS2, from the Alexandria database.

a = 7.159 Å, b = 9.053 Å, c = 6.830 Å
α = 90.00°, β = 90.00°, γ = 90.00°
Space group Pna2_1 (No. 33)
One atom of each set of equivalent atoms:
Na: 0.081 0.120 0.000 x4
In: 0.068 0.626 0.989 x4
S: 0.053 0.609 0.625 x4
S: 0.097 0.144 0.593 x4

Calculated values
Energy: -3.949 eV per atom
Energy relative to the elements, uncorrected: -84 kJ per mole of atoms
Crystal system: orthorhombic
Total magnetization: 0.0 Bohr magnetons per cell
Calculated density: 3.03 g/cm³



Entry 3:
The following is a PBE calculation of an optimized crystal structure of Pm2MgNpN4, from the Alexandria database.

a = 5.831 Å, b = 3.521 Å, c = 5.993 Å
α = 90.00°, β = 107.66°, γ = 90.00°
Space group P2/m (No. 10)
One atom of each set of equivalent atoms:
Pm: 0.000 0.000 0.000 x1
Pm: 0.500 0.500 0.000 x1
Mg: 0.000 0.500 0.500 x1
Np: 0.500 0.000 0.500 x1
N: 0.259 0.500 0.273 x2
N: 0.268 0.000 0.725 x2

Calculated values
Energy: -8.329 eV per atom
Energy relative to the elements, uncorrected: -112 kJ per mole of atoms
Crystal system: monoclinic
Total magnetization: 2.6 Bohr magnetons per cell
Calculated density: 8.60 g/cm³



Entry 4:
The following is a PBE calculation of an optimized crystal structure of SrAl2Sn, from the Alexandria database.

a = 5.044 Å, b = 5.044 Å, c = 19.881 Å
α = 90.00°, β = 90.00°, γ = 90.00°
Space group I4_1/amd (No. 141, origin choice 2)
One atom of each set of equivalent atoms:
Sr: 0.000 0.250 0.375 x4
Al: 0.000 0.000 0.000 x8
Sn: 0.000 0.250 0.875 x4

Calculated values
Energy: -3.310 eV per atom
Formation energy: -17.5 meV/atom
Crystal system: tetragonal
Total magnetization: 0.0 Bohr magnetons per cell
Calculated density: 3.42 g/cm³



Entry 5:
The following is a PBE calculation of an optimized crystal structure of MgIn6Cu6, from the Alexandria database.

a = 5.481 Å, b = 9.202 Å, c = 9.277 Å
α = 90.00°, β = 90.00°, γ = 90.00°
Space group Immm (No. 71)
One atom of each set of equivalent atoms:
Mg: 0.000 0.000 0.000 x2
In: 0.000 0.000 0.335 x4
In: 0.000 0.335 0.000 x4
In: 0.000 0.500 0.329 x4
Cu: 0.000 0.253 0.500 x4
Cu: 0.250 0.250 0.250 x8

Calculated values
Energy: -3.273 eV per atom
Formation energy: 3.6 meV/atom
Crystal system: orthorhombic
Total magnetization: 0.0 Bohr magnetons per cell
Calculated density: 7.77 g/cm³



Entry 6:
The following is a PBE calculation of an optimized crystal structure of HfVHg, from the Alexandria database.

a = 3.308 Å, b = 3.308 Å, c = 10.535 Å
α = 90.00°, β = 90.00°, γ = 90.00°
Space group I4mm (No. 107)
One atom of each set of equivalent atoms:
Hf: 0.000 0.000 0.000 x2
V: 0.000 0.000 0.651 x2
Hg: 0.000 0.000 0.311 x2

Calculated values
Energy: -6.302 eV per atom
Formation energy: 155.6 meV/atom
Crystal system: tetragonal
Total magnetization: 3.3 Bohr magnetons per cell
Calculated density: 12.39 g/cm³



Entry 7:
The following is a PBE calculation of an optimized crystal structure of HoGe2Bi, from the Alexandria database.

a = 4.7259 Å, b = 4.7259 Å, c = 21.7640 Å
α = 90.00°, β = 90.00°, γ = 120.00°
Space group R-3m (No. 166, hexagonal axes)
One atom of each set of equivalent atoms:
Ho: 0.0000 0.0000 0.0000 x3
Ge: 0.0000 0.0000 0.3765 x6
Bi: 0.0000 0.0000 0.5000 x3

Calculated values
Energy: -4.147 eV per atom
Formation energy: 276.5 meV/atom
Crystal system: trigonal
Total magnetization: 0.0 Bohr magnetons per cell
Calculated density: 6.14 g/cm³



Entry 8:
The following is a PBE calculation of an optimized crystal structure of Ac8Ru2Au, from the Alexandria database.

a = 16.571 Å, b = 7.576 Å, c = 6.890 Å
α = 90.00°, β = 108.14°, γ = 90.00°
Space group C2/m (No. 12)
One atom of each set of equivalent atoms:
Ac: 0.080 0.000 0.271 x4
Ac: 0.132 0.254 0.827 x8
Ac: 0.189 0.500 0.358 x4
Ru: 0.232 0.000 0.179 x4
Au: 0.000 0.500 0.000 x2

Calculated values
Energy: -5.159 eV per atom
Formation energy: -187.0 meV/atom
Crystal system: monoclinic
Total magnetization: 0.0 Bohr magnetons per cell
Calculated density: 8.95 g/cm³



Entry 9:
The following is a PBE calculation of an optimized crystal structure of BeBiSbO6, from the Alexandria database.

a = 5.0273 Å, b = 5.0273 Å, c = 9.1550 Å
α = 90.00°, β = 90.00°, γ = 120.00°
Space group P-31c (No. 163)
One atom of each set of equivalent atoms:
Be: 0.3333 0.6667 0.2500 x2
Bi: 0.0000 0.0000 0.0000 x2
Sb: 0.3333 0.6667 0.7500 x2
O: 0.0203 0.3683 0.1346 x12

Calculated values
Energy: -5.905 eV per atom
Energy relative to the elements, uncorrected: -125 kJ per mole of atoms
Crystal system: trigonal
Total magnetization: 0.0 Bohr magnetons per cell
Calculated density: 7.22 g/cm³



Entry 10:
The following is a PBE calculation of an optimized crystal structure of Cd2RePb, from the Alexandria database.

a = 2.974 Å, b = 4.664 Å, c = 13.427 Å
α = 90.00°, β = 90.00°, γ = 90.00°
Space group Immm (No. 71)
One atom of each set of equivalent atoms:
Cd: 0.000 0.000 0.189 x4
Re: 0.000 0.500 0.500 x2
Pb: 0.000 0.500 0.000 x2

Calculated values
Energy: -3.901 eV per atom
Formation energy: 595.5 meV/atom
Crystal system: orthorhombic
Total magnetization: 0.0 Bohr magnetons per cell
Calculated density: 11.02 g/cm³



Entry 11:
The following is a PBE calculation of an optimized crystal structure of AcPmEr2As4, from the Alexandria database.

a = 7.343 Å, b = 4.245 Å, c = 7.355 Å
α = 90.00°, β = 109.44°, γ = 90.00°
Space group P2/m (No. 10)
One atom of each set of equivalent atoms:
Ac: 0.000 0.000 0.000 x1
Pm: 0.000 0.500 0.500 x1
Er: 0.500 0.000 0.500 x1
Er: 0.500 0.500 0.000 x1
As: 0.265 0.000 0.748 x2
As: 0.271 0.500 0.264 x2

Calculated values
Energy: -6.045 eV per atom
Formation energy: -1472.4 meV/atom
Crystal system: monoclinic
Total magnetization: 0.0 Bohr magnetons per cell
Calculated density: 7.73 g/cm³



Entry 12:
The following is a PBE calculation of an optimized crystal structure of Sr2CuSn4Au3, from the Alexandria database.

a = 4.688 Å, b = 4.688 Å, c = 11.544 Å
α = 90.00°, β = 90.00°, γ = 90.00°
Space group P-4m2 (No. 115)
One atom of each set of equivalent atoms:
Sr: 0.000 0.500 0.237 x2
Cu: 0.500 0.500 0.000 x1
Sn: 0.000 0.000 0.500 x1
Sn: 0.000 0.500 0.879 x2
Sn: 0.500 0.500 0.500 x1
Au: 0.000 0.000 0.000 x1
Au: 0.000 0.500 0.643 x2

Calculated values
Energy: -3.829 eV per atom
Formation energy: -498.7 meV/atom
Crystal system: tetragonal
Total magnetization: 0.0 Bohr magnetons per cell
Calculated density: 8.54 g/cm³



Entry 13:
The following is a PBE calculation of an optimized crystal structure of BeAsCl4, from the Alexandria database.

a = 8.211 Å, b = 8.211 Å, c = 8.211 Å
α = 90.00°, β = 90.00°, γ = 90.00°
Space group F-43m (No. 216)
One atom of each set of equivalent atoms:
Be: 0.000 0.000 0.000 x4
As: 0.250 0.250 0.250 x4
Cl: 0.125 0.125 0.625 x16

Calculated values
Energy: -1.485 eV per atom
Energy relative to the elements, uncorrected: 110 kJ per mole of atoms
Crystal system: cubic
Total magnetization: 3.0 Bohr magnetons per cell
Calculated density: 2.71 g/cm³



Entry 14:
The following is a PBE calculation of an optimized crystal structure of YHoCuSn, from the Alexandria database.

a = 7.263 Å, b = 7.263 Å, c = 7.263 Å
α = 90.00°, β = 90.00°, γ = 90.00°
Space group F-43m (No. 216)
One atom of each set of equivalent atoms:
Y: 0.000 0.000 0.000 x4
Ho: 0.000 0.000 0.500 x4
Cu: 0.250 0.250 0.250 x4
Sn: 0.250 0.250 0.750 x4

Calculated values
Energy: -5.225 eV per atom
Formation energy: -439.4 meV/atom
Crystal system: cubic
Total magnetization: 0.0 Bohr magnetons per cell
Calculated density: 7.56 g/cm³



Entry 15:
The following is a PBE calculation of an optimized crystal structure of TbGa2Rh, from the Alexandria database.

a = 3.243 Å, b = 3.243 Å, c = 6.886 Å
α = 90.00°, β = 90.00°, γ = 90.00°
Space group P4/mmm (No. 123)
One atom of each set of equivalent atoms:
Tb: 0.000 0.000 0.000 x1
Ga: 0.500 0.500 0.302 x2
Rh: 0.000 0.000 0.500 x1

Calculated values
Energy: -5.091 eV per atom
Formation energy: -581.9 meV/atom
Crystal system: tetragonal
Total magnetization: 0.0 Bohr magnetons per cell
Calculated density: 9.20 g/cm³



Entry 16:
The following is a PBE calculation of an optimized crystal structure of Li3P, from the Alexandria database.

a = 4.761 Å, b = 4.761 Å, c = 4.761 Å
α = 90.00°, β = 90.00°, γ = 90.00°
Space group Pm-3n (No. 223)
One atom of each set of equivalent atoms:
Li: 0.000 0.250 0.500 x6
P: 0.000 0.000 0.000 x2

Calculated values
Energy: -3.416 eV per atom
Formation energy: -628.0 meV/atom
Crystal system: cubic
Total magnetization: 0.0 Bohr magnetons per cell
Calculated density: 1.59 g/cm³



Entry 17:
The following is a PBE calculation of an optimized crystal structure of CaNi3Ag, from the Alexandria database.

a = 4.690 Å, b = 4.690 Å, c = 4.690 Å
α = 90.00°, β = 90.00°, γ = 90.00°
Space group Pm-3m (No. 221)
One atom of each set of equivalent atoms:
Ca: 0.000 0.000 0.000 x1
Ni: 0.000 0.500 0.500 x3
Ag: 0.500 0.500 0.500 x1

Calculated values
Energy: -3.647 eV per atom
Formation energy: 792.8 meV/atom
Crystal system: cubic
Total magnetization: 0.5 Bohr magnetons per cell
Calculated density: 5.21 g/cm³



Entry 18:
The following is a PBE calculation of an optimized crystal structure of NiAsPtSe2, from the Alexandria database.

a = 5.139 Å, b = 5.139 Å, c = 4.636 Å
α = 90.00°, β = 90.00°, γ = 90.00°
Space group P4/mmm (No. 123)
One atom of each set of equivalent atoms:
Ni: 0.000 0.000 0.000 x1
As: 0.500 0.500 0.000 x1
Pt: 0.500 0.500 0.500 x1
Se: 0.000 0.500 0.500 x2

Calculated values
Energy: -3.804 eV per atom
Energy relative to the elements, uncorrected: 85 kJ per mole of atoms
Crystal system: tetragonal
Total magnetization: 1.6 Bohr magnetons per cell
Calculated density: 6.60 g/cm³



Entry 19:
The following is a PBE calculation of an optimized crystal structure of HfTiSe4, from the Alexandria database.

a = 6.331 Å, b = 3.660 Å, c = 6.652 Å
α = 90.00°, β = 90.09°, γ = 90.00°
Space group P2/m (No. 10)
One atom of each set of equivalent atoms:
Hf: 0.000 0.000 0.000 x1
Ti: 0.500 0.500 0.000 x1
Se: 0.176 0.500 0.761 x2
Se: 0.343 0.000 0.232 x2

Calculated values
Energy: -6.515 eV per atom
Energy relative to the elements, uncorrected: -117 kJ per mole of atoms
Crystal system: monoclinic
Total magnetization: 0.0 Bohr magnetons per cell
Calculated density: 5.84 g/cm³



Entry 20:
The following is a PBE calculation of an optimized crystal structure of VSiP2S, from the Alexandria database.

a = 4.645 Å, b = 4.645 Å, c = 4.369 Å
α = 90.00°, β = 90.00°, γ = 90.00°
Space group P4/mmm (No. 123)
One atom of each set of equivalent atoms:
V: 0.000 0.000 0.000 x1
Si: 0.500 0.500 0.500 x1
P: 0.000 0.500 0.000 x2
S: 0.000 0.000 0.500 x1

Calculated values
Energy: -5.409 eV per atom
Energy relative to the elements, uncorrected: 47 kJ per mole of atoms
Crystal system: tetragonal
Total magnetization: 0.0 Bohr magnetons per cell
Calculated density: 3.05 g/cm³